This record from Alexandria via LeMat-Bulk describes crystalline Dy5Al4Au at its relaxed geometry. The functional is PBE.

Energy of formation from the pure elements (kJ/mol of atoms): -46
Calculated density (g/cm³): 7.94
VASP energy (eV per atom): -4.604

abc: 3.5890 3.5890 18.1506
angles: 90.00 90.00 90.00
Space group P4/mmm (No. 123)
Symmetry-distinct sites (fractional):
Dy: 0.0000 0.0000 0.0000 (multiplicity 1)
Dy: 0.0000 0.0000 0.1989 (multiplicity 2)
Dy: 0.0000 0.0000 0.4012 (multiplicity 2)
Al: 0.5000 0.5000 0.0990 (multiplicity 2)
Al: 0.5000 0.5000 0.2985 (multiplicity 2)
Au: 0.5000 0.5000 0.5000 (multiplicity 1)

This record from Alexandria via LeMat-Bulk describes crystalline MgIn2Pd at its relaxed geometry. The functional is PBE.

Energy of formation from the pure elements (kJ/mol of atoms): -12
Calculated density (g/cm³): 6.71
VASP energy (eV per atom): -3.193

abc: 4.2478 4.2478 19.7683
angles: 90.00 90.00 90.00
Space group I-42d (No. 122)
Symmetry-distinct sites (fractional):
Mg: 0.0000 0.0000 0.0000 (multiplicity 4)
In: 0.2387 0.2500 0.6250 (multiplicity 8)
Pd: 0.0000 0.0000 0.5000 (multiplicity 4)

This record from Alexandria via LeMat-Bulk describes crystalline Si2GeCl at its relaxed geometry. The functional is PBE.

Energy relative to the elements, uncorrected (meV/atom): 498.9
Calculated density (g/cm³): 3.90
Energy relative to the lowest polymorph listed for this composition (eV/atom): 0.000
VASP energy (eV per atom): -3.829

abc: 6.5407 6.5407 6.5407
angles: 90.00 90.00 90.00
Space group Fm-3m (No. 225)
Symmetry-distinct sites (fractional):
Si: 0.2500 0.2500 0.2500 (multiplicity 8)
Ge: 0.0000 0.0000 0.0000 (multiplicity 4)
Cl: 0.0000 0.0000 0.5000 (multiplicity 4)

This record from Alexandria via LeMat-Bulk describes crystalline MgTa2Cl at its relaxed geometry. The functional is PBE.

Energy relative to the elements, uncorrected (meV/atom): 667.6
Calculated density (g/cm³): 8.66
Energy relative to the lowest polymorph listed for this composition (eV/atom): 0.728
VASP energy (eV per atom): -6.119

abc: 3.8319 3.8319 11.0115
angles: 90.00 90.00 90.00
Space group I4/mmm (No. 139)
Symmetry-distinct sites (fractional):
Mg: 0.0000 0.0000 0.0000 (multiplicity 2)
Ta: 0.0000 0.5000 0.2500 (multiplicity 4)
Cl: 0.0000 0.0000 0.5000 (multiplicity 2)

This record from Alexandria via LeMat-Bulk describes crystalline MnCu2P at its relaxed geometry. The functional is PBE.

Energy of formation from the pure elements (kJ/mol of atoms): -1
Calculated density (g/cm³): 7.48
VASP energy (eV per atom): -5.703

abc: 2.9170 2.9170 5.5540
angles: 90.00 90.00 90.00
Space group P4mm (No. 99)
Symmetry-distinct sites (fractional):
Mn: 0.0000 0.0000 0.0000 (multiplicity 1)
Cu: 0.0000 0.0000 0.4693 (multiplicity 1)
Cu: 0.5000 0.5000 0.7179 (multiplicity 1)
P: 0.5000 0.5000 0.1786 (multiplicity 1)

This record from Alexandria via LeMat-Bulk describes crystalline TaSeBr3 at its relaxed geometry. The functional is PBE.

Energy relative to the elements, uncorrected (meV/atom): 191.5
Calculated density (g/cm³): 6.21
VASP energy (eV per atom): -3.880

abc: 5.1134 5.1134 5.1134
angles: 90.00 90.00 90.00
Space group Pm-3m (No. 221)
Symmetry-distinct sites (fractional):
Ta: 0.0000 0.0000 0.0000 (multiplicity 1)
Se: 0.5000 0.5000 0.5000 (multiplicity 1)
Br: 0.0000 0.0000 0.5000 (multiplicity 3)

This record from Alexandria via LeMat-Bulk describes crystalline LiHoMgIn2 at its relaxed geometry. The functional is PBE.

Energy of formation from the pure elements (kJ/mol of atoms): -19
Calculated density (g/cm³): 6.06
VASP energy (eV per atom): -2.914

abc: 5.7340 6.4180 6.3379
angles: 90.00 90.00 90.00
Space group Pmma (No. 51)
Symmetry-distinct sites (fractional):
Li: 0.0000 0.0000 0.0000 (multiplicity 2)
Ho: 0.2500 0.5000 0.2086 (multiplicity 2)
Mg: 0.2500 0.0000 0.3648 (multiplicity 2)
In: 0.2500 0.2681 0.7311 (multiplicity 4)

This record from Alexandria via LeMat-Bulk describes crystalline TbHf2Ir3 at its relaxed geometry. The functional is PBE.

Energy of formation from the pure elements (kJ/mol of atoms): -86
Calculated density (g/cm³): 16.18
VASP energy (eV per atom): -9.416

abc: 3.2708 3.2708 10.4822
angles: 90.00 90.00 90.00
Space group P4/mmm (No. 123)
Symmetry-distinct sites (fractional):
Tb: 0.0000 0.0000 0.0000 (multiplicity 1)
Hf: 0.0000 0.0000 0.3400 (multiplicity 2)
Ir: 0.5000 0.5000 0.1966 (multiplicity 2)
Ir: 0.5000 0.5000 0.5000 (multiplicity 1)

This record from Alexandria via LeMat-Bulk describes crystalline CdHgBr2 at its relaxed geometry. The functional is PBE.

Energy relative to the elements, uncorrected (meV/atom): -548.3
Calculated density (g/cm³): 4.96
Energy relative to the lowest polymorph listed for this composition (eV/atom): 0.071
VASP energy (eV per atom): -1.689

abc: 8.2520 8.2520 9.3054
angles: 90.00 90.00 90.00
Space group I-42d (No. 122)
Symmetry-distinct sites (fractional):
Cd: 0.0000 0.0000 0.0000 (multiplicity 4)
Hg: 0.0000 0.0000 0.5000 (multiplicity 4)
Br: 0.1474 0.7500 0.1250 (multiplicity 8)

This record from Alexandria via LeMat-Bulk describes crystalline Np3Co5Se12 at its relaxed geometry. The functional is PBE.

Energy relative to the elements, uncorrected (meV/atom): -513.3
Calculated density (g/cm³): 7.59
VASP energy (eV per atom): -6.322

abc: 15.0637 15.0637 15.0637
angles: 90.00 90.00 90.00
Space group Ia-3d (No. 230)
Symmetry-distinct sites (fractional):
Np: 0.0000 0.2500 0.1250 (multiplicity 24)
Co: 0.0000 0.0000 0.0000 (multiplicity 16)
Co: 0.0000 0.2500 0.3750 (multiplicity 24)
Se: 0.0306 0.0584 0.6456 (multiplicity 96)

This record from Alexandria via LeMat-Bulk describes crystalline BaSrPu4N8 at its relaxed geometry. The functional is PBE.

Energy relative to the elements, uncorrected (meV/atom): -912.7
Calculated density (g/cm³): 8.39
VASP energy (eV per atom): -10.022

abc: 6.9310 6.9310 18.7418
angles: 90.00 90.00 120.00
Space group R3m (No. 160, hexagonal axes)
Symmetry-distinct sites (fractional):
Ba: 0.0000 0.0000 0.0000 (multiplicity 3)
Sr: 0.0000 0.0000 0.6453 (multiplicity 3)
Pu: 0.0000 0.0000 0.1775 (multiplicity 3)
Pu: 0.0026 0.5013 0.1462 (multiplicity 9)
N: 0.0000 0.0000 0.4307 (multiplicity 3)
N: 0.0000 0.0000 0.8610 (multiplicity 3)
N: 0.0027 0.5014 0.4300 (multiplicity 9)
N: 0.1805 0.3610 0.2087 (multiplicity 9)

This record from Alexandria via LeMat-Bulk describes crystalline Cd8Pd5Rh at its relaxed geometry. The functional is PBE.

Energy of formation from the pure elements (kJ/mol of atoms): -20
Calculated density (g/cm³): 9.55
VASP energy (eV per atom): -3.107

abc: 8.1137 8.1137 8.1035
angles: 90.00 90.00 90.00
Space group I-4 (No. 82)
Symmetry-distinct sites (fractional):
Cd: 0.0792 0.3320 0.0430 (multiplicity 8)
Cd: 0.0805 0.1717 0.7056 (multiplicity 8)
Pd: 0.0000 0.0000 0.0000 (multiplicity 2)
Pd: 0.1244 0.2488 0.3734 (multiplicity 8)
Rh: 0.0000 0.5000 0.7500 (multiplicity 2)

calculated density of number 10 (Np3Co5Se12)? 7.59 g/cm³

Repeat the ninth record exactly.
This record from Alexandria via LeMat-Bulk describes crystalline CdHgBr2 at its relaxed geometry. The functional is PBE.

Energy relative to the elements, uncorrected (meV/atom): -548.3
Calculated density (g/cm³): 4.96
Energy relative to the lowest polymorph listed for this composition (eV/atom): 0.071
VASP energy (eV per atom): -1.689

abc: 8.2520 8.2520 9.3054
angles: 90.00 90.00 90.00
Space group I-42d (No. 122)
Symmetry-distinct sites (fractional):
Cd: 0.0000 0.0000 0.0000 (multiplicity 4)
Hg: 0.0000 0.0000 0.5000 (multiplicity 4)
Br: 0.1474 0.7500 0.1250 (multiplicity 8)